1.
# CdCo2Rh

CdCo2Rh at its PBEsol-relaxed geometry (SCAN, the Alexandria database).

Cell: 4.3576 4.3576 2.7937 Å, 90.00 90.00 90.00°
Last column: nearest neighbours and their distance in Å.
Space group P4/mmm (No. 123)
Asymmetric unit:
1 Cd 0.0000 0.0000 0.0000 [1 per cell]  8 Co 2.59, 2 Cd 2.79
2 Co 0.0000 0.5000 0.5000 [2 per cell]  4 Cd 2.59, 4 Rh 2.59, 2 Co 2.79
3 Rh 0.5000 0.5000 0.0000 [1 per cell]  8 Co 2.59, 2 Rh 2.79

Computed properties:
N(E_F)	2.1	states/eV/cell
formation energy from the elements	4.44	kcal/mol of atoms
calculated total energy	-98.02	eV per cell
total magnetic moment	4.351	μB/f.u.

2.
# Al2CuW

Al2CuW at its PBEsol-relaxed geometry (SCAN, the Alexandria database).

Cell: 2.7659 4.4773 4.6230 Å, 90.00 90.00 90.00°
Last column: nearest neighbours and their distance in Å.
Space group Pmm2 (No. 25)
Asymmetric unit:
1 Al 0.0000 0.0000 0.0000 [1 per cell]  4 W 2.67-2.71, 4 Cu 2.68, 4 Al 2.77-2.91
2 Al 0.0000 0.5000 0.4013 [1 per cell]  4 Cu 2.64-2.75, 4 W 2.67, 4 Al 2.77-2.91
3 Cu 0.5000 0.5000 0.8881 [1 per cell]  8 Al 2.64-2.75, 2 Cu 2.77, 2 W 2.85
4 W 0.5000 0.0000 0.5049 [1 per cell]  8 Al 2.67-2.71, 2 W 2.77, 2 Cu 2.85

Computed properties:
N(E_F)	1.7	states/eV/cell
formation energy from the elements	-1.43	kcal/mol of atoms
calculated total energy	-100.64	eV per cell
total magnetic moment	0.000	μB/f.u.
energy above the lowest structure with this stoichiometry	0.053	eV per atom

- Number 2 is which compound?
  Al2CuW